# 1
! NaGa2CoSn | the Alexandria database | GGA-PBE | optimized geometry; values from VASP
&SYSTEM
  ibrav = 0, nat = 5, ntyp = 4
/
ATOMIC_SPECIES
Na 22.99 Na.upf
Co 58.93 Co.upf
Sn 118.71 Sn.upf
Ga 69.72 Ga.upf
ATOMIC_POSITIONS angstrom
Na 2.314 2.314 2.481
Co 0.000 0.000 0.000
Sn 0.000 0.000 2.481
Ga 0.000 2.314 0.000
Ga 2.314 0.000 0.000
CELL_PARAMETERS angstrom
4.628 0.000 0.000
0.000 4.628 0.000
0.000 0.000 4.963
! DOS at the Fermi energy = 3.31 states/eV/f.u.
! symmetry = No. 123
! ΔE_f = -0.10 eV per atom

***

# 2
! Ti3AsC2 | the Alexandria database | GGA-PBE | optimized geometry; values from VASP
&SYSTEM
  ibrav = 0, nat = 12, ntyp = 3
/
ATOMIC_SPECIES
Ti 47.87 Ti.upf
As 74.92 As.upf
C 12.01 C.upf
ATOMIC_POSITIONS angstrom
Ti -1.692 -0.771 -0.183
Ti -6.184 2.211 0.833
Ti -3.347 1.750 1.347
Ti -8.398 2.763 2.480
Ti -4.442 -1.002 3.011
Ti -5.476 1.628 3.746
As -6.248 4.913 0.454
As -1.825 -0.441 2.478
C -3.211 -1.067 4.723
C -4.524 1.886 -0.513
C -6.397 3.300 2.629
C -5.217 0.617 1.804
CELL_PARAMETERS angstrom
-1.683 -1.993 -1.595
-1.614 -2.355 4.648
-7.199 5.749 0.414
! DOS at the Fermi energy = 2.65 states/eV/f.u.
! symmetry = No. 26
! ΔE_f = -0.54 eV per atom